Entry 1:
This record from Alexandria describes a relaxed PmEr2Sc crystal. The functional is PBE-GGA.

a b c (Å): 6.5772 6.5772 6.5772
angles (deg): 148.56 65.00 124.71
With the nearest neighbours (Å) after each atom.
Element x y z (fractional)
Pm: 0.0000 0.0000 0.0000  6 Er 3.43-3.49, 4 Sc 3.49-3.58, 2 Pm 3.56
Er: 0.4104 0.6534 0.7570  3 Sc 3.38-3.52, 3 Pm 3.43-3.49, 6 Er 3.54-3.56
Er: 0.8964 0.6534 0.2430  3 Sc 3.38-3.52, 3 Pm 3.43-3.49, 6 Er 3.54-3.56
Sc: 0.4919 0.9919 0.5000  6 Er 3.38-3.52, 4 Pm 3.49-3.58, 2 Sc 3.56

Distance to the lowest polymorph of the same formula   0 meV per atom
V   30.2 A^3/atom
Density   7.22 Mg/m³
Spin magnetization   0.0 μB per cell
VASP energy   -5.0284 eV/atom

***

Entry 2:
This record from Alexandria describes a relaxed PmEr5Sc2 crystal. The functional is PBE-GGA.

a b c (Å): 11.1935 12.0401 6.9802
angles (deg): 90.00 90.00 90.00
With the nearest neighbours (Å) after each atom.
Element x y z (fractional)
Pm: 0.2472 0.0800 0.0000  8 Er 3.42-3.53, 4 Sc 3.43-3.49
Pm: 0.2528 0.5800 0.0000  8 Er 3.42-3.53, 4 Sc 3.43-3.49
Pm: 0.7472 0.4200 0.0000  8 Er 3.42-3.53, 4 Sc 3.43-3.49
Pm: 0.7528 0.9200 0.0000  8 Er 3.42-3.53, 4 Sc 3.43-3.49
Er: 0.0004 0.2472 0.0000  2 Pm 3.42-3.52, 8 Er 3.45-3.52, 2 Sc 3.47
Er: 0.0000 0.5000 0.2544  8 Er 3.43-3.55, 2 Sc 3.46, 2 Pm 3.48
Er: 0.0000 0.5000 0.7456  8 Er 3.43-3.55, 2 Sc 3.46, 2 Pm 3.48
Er: 0.9996 0.7528 0.0000  2 Pm 3.42-3.52, 8 Er 3.45-3.52, 2 Sc 3.47
Er: 0.0008 0.2464 0.5000  4 Sc 3.38-3.51, 8 Er 3.42-3.50
Er: 0.2488 0.8332 0.2545  7 Er 3.42-3.55, 3 Sc 3.43-3.47, 2 Pm 3.46-3.53
Er: 0.2488 0.8332 0.7455  7 Er 3.42-3.55, 3 Sc 3.43-3.47, 2 Pm 3.46-3.53
Er: 0.2512 0.3332 0.2545  7 Er 3.42-3.55, 3 Sc 3.43-3.47, 2 Pm 3.46-3.53
Er: 0.2512 0.3332 0.7455  7 Er 3.42-3.55, 3 Sc 3.43-3.47, 2 Pm 3.46-3.53
Er: 0.4992 0.7464 0.5000  4 Sc 3.38-3.51, 8 Er 3.42-3.50
Er: 0.5000 0.0000 0.2544  8 Er 3.43-3.55, 2 Sc 3.46, 2 Pm 3.48
Er: 0.5000 0.0000 0.7456  8 Er 3.43-3.55, 2 Sc 3.46, 2 Pm 3.48
Er: 0.5004 0.2528 0.0000  2 Pm 3.42-3.52, 8 Er 3.45-3.52, 2 Sc 3.47
Er: 0.4996 0.7472 0.0000  2 Pm 3.42-3.52, 8 Er 3.45-3.52, 2 Sc 3.47
Er: 0.5008 0.2536 0.5000  4 Sc 3.38-3.51, 8 Er 3.42-3.50
Er: 0.7488 0.6668 0.2545  7 Er 3.42-3.55, 3 Sc 3.43-3.47, 2 Pm 3.46-3.53
Er: 0.7488 0.6668 0.7455  7 Er 3.42-3.55, 3 Sc 3.43-3.47, 2 Pm 3.46-3.53
Er: 0.7512 0.1668 0.2545  7 Er 3.42-3.55, 3 Sc 3.43-3.47, 2 Pm 3.46-3.53
Er: 0.7512 0.1668 0.7455  7 Er 3.42-3.55, 3 Sc 3.43-3.47, 2 Pm 3.46-3.53
Er: 0.9992 0.7536 0.5000  4 Sc 3.38-3.51, 8 Er 3.42-3.50
Sc: 0.0000 0.0000 0.2566  4 Sc 3.39-3.58, 6 Er 3.42-3.47, 2 Pm 3.43
Sc: 0.0000 0.0000 0.7434  4 Sc 3.39-3.58, 6 Er 3.42-3.47, 2 Pm 3.43
Sc: 0.2466 0.0833 0.5000  8 Er 3.38-3.51, 2 Sc 3.39, 2 Pm 3.49
Sc: 0.2534 0.5833 0.5000  8 Er 3.38-3.51, 2 Sc 3.39, 2 Pm 3.49
Sc: 0.5000 0.5000 0.2566  4 Sc 3.39-3.58, 6 Er 3.42-3.47, 2 Pm 3.43
Sc: 0.5000 0.5000 0.7434  4 Sc 3.39-3.58, 6 Er 3.42-3.47, 2 Pm 3.43
Sc: 0.7466 0.4167 0.5000  8 Er 3.38-3.51, 2 Sc 3.39, 2 Pm 3.49
Sc: 0.7534 0.9167 0.5000  8 Er 3.38-3.51, 2 Sc 3.39, 2 Pm 3.49

Distance to the lowest polymorph of the same formula   0 meV per atom
V   29.4 A^3/atom
Density   7.56 Mg/m³
Spin magnetization   0.0 μB per cell
VASP energy   -4.9989 eV/atom